PBE-GGA Tb3ThMg2, relaxed; ΔE_f = -0.0521 eV/atom; total moment = 0.037 μB/atom
1.0
-1.6957 -3.1350 0.6518
1.9243 -0.4081 3.0429
-9.3858 6.4919 6.8061
Tb Mg Th
3 2 1
direct
0.0000 0.0000 0.0000
0.0000 0.0000 0.6810
0.0000 0.0000 0.3190
0.5000 0.5000 0.1571
0.5000 0.5000 0.8429
0.5000 0.5000 0.5000


PBE-GGA Sm2HoAg6, relaxed; ΔE_f = -0.2287 eV/atom; total moment = 0.000 μB/atom
1.0
-1.1434 -0.1455 5.2142
3.6292 -1.9076 3.4726
4.9197 6.5755 2.6272
Sm Ag Ho
2 6 1
direct
0.5000 0.1644 0.1712
0.5000 0.8356 0.8288
0.6795 0.6564 0.5000
0.1648 0.5025 0.8269
0.8352 0.1706 0.8269
0.1648 0.8294 0.1731
0.8352 0.4975 0.1731
0.3205 0.3436 0.5000
0.0000 0.0000 0.5000


PBE-GGA Ba2HgPbO5, relaxed; total moment = 0.000 μB/atom; formation energy from raw total energies = -148.0 kJ per mole of atoms
1.0
-2.4103 -2.6322 -0.5122
4.9451 -3.1466 5.5907
-6.4814 4.3434 8.1775
Hg Ba O Pb
2 4 10 2
direct
0.4610 0.9219 0.4542
0.5390 0.0781 0.9542
0.1077 0.2153 0.6862
0.1315 0.2631 0.2999
0.8923 0.7847 0.1862
0.8685 0.7369 0.7999
0.3015 0.6030 0.3863
0.6985 0.3970 0.8863
0.4960 0.9920 0.7748
0.0803 0.1606 0.0606
0.3552 0.7104 0.0001
0.2763 0.5527 0.6466
0.5040 0.0080 0.2748
0.9197 0.8394 0.5606
0.7237 0.4473 0.1466
0.6448 0.2896 0.5001
0.2188 0.4376 0.0153
0.7812 0.5624 0.5153


PBE-GGA MoIr4Cl, relaxed; total moment = 0.000 μB/atom; formation energy from raw total energies = 81.3 kJ per mole of atoms
1.0
-0.8955 1.4434 4.9130
-1.5305 4.8569 1.0443
-4.8631 0.9059 1.5976
Ir Mo Cl
4 1 1
direct
0.6249 0.6249 0.1254
0.6249 0.6249 0.6249
0.6249 0.1254 0.6249
0.1254 0.6249 0.6249
0.2500 0.2500 0.2500
0.0000 0.0000 0.0000